Here is CaHo5Al4 after structural relaxation from Alexandria. Energies are from PBE.

```
CaHo5Al4
1.0
-0.5411 -0.9823 3.3814
1.6806 -3.0784 -0.6254
17.4978 8.4831 5.2643
Ca Ho Al
1 5 4
Direct
0.0000 0.0000 0.0000
0.5000 0.5000 0.1409
0.5000 0.5000 0.3205
0.5000 0.5000 0.5000
0.5000 0.5000 0.6795
0.5000 0.5000 0.8591
0.0000 0.0000 0.2296
0.0000 0.0000 0.4103
0.0000 0.0000 0.5897
0.0000 0.0000 0.7704
```

Summary:
DOS(E_F)   4.50 states/eV/f.u.
Magnetic moment   0.000 μB per formula unit
ΔE_f   -0.3020 eV/atom
Calculated total energy   -42.9 eV for the cell shown

---

Here is CaHo4Al5 after structural relaxation from Alexandria. Energies are from PBE.

```
CaHo4Al5
1.0
-0.4648 1.2069 3.3368
-1.7216 -3.0193 0.8522
15.8676 -7.6436 4.9749
Ca Ho Al
1 4 5
Direct
0.0000 0.0000 0.0000
0.0000 0.0000 0.2047
0.0000 0.0000 0.4022
0.0000 0.0000 0.5978
0.0000 0.0000 0.7953
0.5000 0.5000 0.1064
0.5000 0.5000 0.3035
0.5000 0.5000 0.5000
0.5000 0.5000 0.6965
0.5000 0.5000 0.8936
```

Summary:
DOS(E_F)   4.20 states/eV/f.u.
Magnetic moment   0.000 μB per formula unit
ΔE_f   -0.3521 eV/atom
Calculated total energy   -42.5 eV for the cell shown

---

Here is CaHoAl2 after structural relaxation from Alexandria. Energies are from PBE.

```
CaHoAl2
1.0
3.5385 0.0000 0.0000
1.7693 3.0644 0.0000
1.7693 1.0215 9.6856
Ca Ho Al
1 1 2
Direct
0.5000 0.5000 0.5000
0.0000 0.0000 0.0000
0.2521 0.2521 0.2437
0.7479 0.7479 0.7563
```

Summary:
DOS(E_F)   3.71 states/eV/f.u.
Magnetic moment   0.000 μB per formula unit
ΔE_f   -0.0437 eV/atom
Calculated total energy   -14.2 eV for the cell shown
Excess energy over the best structure of this formula in the dataset   252 meV per atom

---

Here is CaHoAl6 after structural relaxation from Alexandria. Energies are from PBE.

```
CaHoAl6
1.0
-3.9471 -2.0249 -0.2755
2.5701 -4.5839 -3.1312
1.1156 -2.8712 5.1190
Ca Ho Al
1 1 6
Direct
0.0000 0.6061 0.0000
0.5000 0.3949 0.5000
0.5000 0.8650 0.2568
0.0000 0.1392 0.7467
0.0000 0.1392 0.2533
0.5000 0.8650 0.7432
0.0000 0.7488 0.5000
0.5000 0.2418 0.0000
```

Summary:
DOS(E_F)   3.16 states/eV/f.u.
Magnetic moment   0.000 μB per formula unit
ΔE_f   -0.2829 eV/atom
Calculated total energy   -31.3 eV for the cell shown

---

Here is CaHo3Al8 after structural relaxation from Alexandria. Energies are from PBE.

```
CaHo3Al8
1.0
5.5738 0.0000 0.0000
-2.7869 4.8270 0.0000
0.0000 0.0000 9.0797
Ca Ho Al
1 3 8
Direct
0.0000 0.0000 0.5662
0.6667 0.3333 0.4340
0.6667 0.3333 0.0683
0.0000 0.0000 0.9330
0.3333 0.6667 0.5003
0.3333 0.6667 0.9993
0.5049 0.0099 0.7531
0.5049 0.4951 0.7531
0.9901 0.4951 0.7531
0.1624 0.3248 0.2466
0.1624 0.8376 0.2466
0.6752 0.8376 0.2466
```

Summary:
DOS(E_F)   5.86 states/eV/f.u.
Magnetic moment   0.000 μB per formula unit
ΔE_f   -0.4515 eV/atom
Calculated total energy   -51.1 eV for the cell shown
Excess energy over the best structure of this formula in the dataset   5 meV per atom

---

Here is CaHo3Al8 after structural relaxation from Alexandria. Energies are from PBE.

```
CaHo3Al8
1.0
-4.3423 -3.2741 -1.1715
0.1401 -5.3950 1.3500
-5.0546 -0.9512 8.1854
Ca Ho Al
1 3 8
Direct
0.8753 0.8753 0.3741
0.3750 0.3750 0.8750
0.9995 0.9995 0.0016
0.5001 0.5001 0.4998
0.9398 0.4381 0.1839
0.4348 0.9372 0.6907
0.4381 0.4381 0.1839
0.9372 0.9372 0.6907
0.1876 0.1876 0.4372
0.6873 0.6873 0.9382
0.4381 0.9398 0.1839
0.9372 0.4348 0.6907
```

Summary:
DOS(E_F)   8.62 states/eV/f.u.
Magnetic moment   0.000 μB per formula unit
ΔE_f   -0.4569 eV/atom
Calculated total energy   -51.2 eV for the cell shown
Excess energy over the best structure of this formula in the dataset   0 meV per atom

---

Here is CaHoAl2 after structural relaxation from Alexandria. Energies are from PBE.

```
CaHoAl2
1.0
-0.5202 -2.8332 -4.2678
0.5604 -5.1136 0.2204
-4.0970 -3.0659 -0.5713
Ca Ho Al
1 1 2
Direct
0.5000 0.5000 0.5000
0.0000 0.0000 0.0000
0.2500 0.2500 0.2500
0.7500 0.7500 0.7500
```

Summary:
DOS(E_F)   3.01 states/eV/f.u.
Magnetic moment   0.000 μB per formula unit
ΔE_f   -0.2637 eV/atom
Calculated total energy   -15.1 eV for the cell shown
Excess energy over the best structure of this formula in the dataset   32 meV per atom

---

Here is CaHo2Al6 after structural relaxation from Alexandria. Energies are from PBE.

```
CaHo2Al6
1.0
-3.3740 -0.0877 0.9320
-1.9410 -2.5343 -7.2652
1.7122 -5.2431 5.7054
Ca Ho Al
1 2 6
Direct
0.0000 0.0000 0.0000
0.0000 0.3333 0.6667
0.0000 0.6667 0.3333
0.5000 0.3351 0.3351
0.5000 0.6649 0.6649
0.5000 0.0000 0.6649
0.5000 0.6649 0.0000
0.5000 0.3351 0.0000
0.5000 0.0000 0.3351
```

Summary:
DOS(E_F)   3.98 states/eV/f.u.
Magnetic moment   0.000 μB per formula unit
ΔE_f   -0.4024 eV/atom
Calculated total energy   -37.2 eV for the cell shown

---

Question: What is the calculated total energy in the first record?
Answer: -42.9 eV for the cell shown

---

Question: Look up the magnetic moment of the first one.
Answer: 0.000 μB per formula unit